# 1
Compound: In2IrOs
Source: the Alexandria database
Functional: GGA-PBE
Structure: relaxed

Unit cell a=3.241 b=3.241 c=6.516 alpha=90.00 beta=90.00 gamma=90.00
Fractional positions:
In  0.000  0.000  0.247
In  0.000  0.000  0.753
Ir  0.500  0.500  0.500
Os  0.500  0.500  0.000



# 2
Compound: ZrGe2Pd
Source: the Alexandria database
Functional: GGA-PBE
Structure: relaxed

Unit cell a=9.471 b=9.471 c=9.471 alpha=154.62 beta=154.62 gamma=36.20
Fractional positions:
Zr  0.000  0.000  0.000
Zr  0.750  0.250  0.500
Ge  0.167  0.625  0.042
Ge  0.375  0.417  0.542
Ge  0.583  0.125  0.958
Ge  0.875  0.833  0.458
Pd  0.250  0.750  0.500
Pd  0.500  0.500  0.000



The calculation returns the following DFT formation energy values, one per record and in order: 0.2700, -0.2626 eV per atom.
The calculation returns the following size of the total moment values, one per record and in order: 0.00, 0.00 μB/atom.
The calculation returns the following total DFT energy (no corrections) values, one per record and in order: -6.12, -6.01 eV/atom.